A | TlInSb2 | PBEsol | optimized geometry

Unit cell a=3.332 b=4.936 c=6.740 alpha=90.00 beta=90.00 gamma=90.00
Fractional positions:
Tl 0.500 0.500 0.000
Sb 0.000 0.000 0.280
In 0.500 0.500 0.500
Sb 0.000 0.000 0.720

Summary:
Its space group is Pmmm. As for the density: 8.43 g/cm3.

---

B | TlInSb2 | PBEsol | optimized geometry

Unit cell a=5.317 b=5.317 c=5.317 alpha=60.00 beta=60.00 gamma=60.00
Fractional positions:
In 0.000 0.000 0.000
Sb 0.750 0.750 0.750
Tl 0.500 0.500 0.500
Sb 0.250 0.250 0.250

Summary:
Its space group is Fm-3m. As for the density: 8.79 g/cm3.

---

Quick one: least stable of them? B